P.
Entry from Alexandria: a relaxed SiRuSe2Br crystal (PBE-GGA).

As for the crystal system: tetragonal.

The structure belongs to space group P4/mmm (No. 123); the cell edges are 4.851, 4.851 and 4.979 Å and the angles 90.00°, 90.00° and 90.00°. The inequivalent atoms are Si at (0.000, 0.000, 0.000), Ru at (0.500, 0.500, 0.500), Se at (0.000, 0.500, 0.000) and Br at (0.000, 0.000, 0.500).

***

Q.
Entry from Alexandria: a relaxed SiRuSe2Br crystal (PBE-GGA).

As for the crystal system: tetragonal.

The structure belongs to space group P4/mmm (No. 123); the cell edges are 4.832, 4.832 and 5.092 Å and the angles 90.00°, 90.00° and 90.00°. The inequivalent atoms are Si at (0.000, 0.000, 0.000), Ru at (0.500, 0.500, 0.500), Se at (0.000, 0.500, 0.500) and Br at (0.500, 0.500, 0.000).

***

Of them, the most stable is Q and the least stable is P.

***

P.
Entry from Alexandria: a relaxed TaRuSeBr2 crystal (PBE-GGA).

As for the crystal system: tetragonal.

The structure belongs to space group P4/mmm (No. 123); the cell edges are 4.941, 4.941 and 4.860 Å and the angles 90.00°, 90.00° and 90.00°. The inequivalent atoms are Ta at (0.000, 0.000, 0.000), Ru at (0.500, 0.500, 0.500), Se at (0.500, 0.500, 0.000) and Br at (0.000, 0.500, 0.500).

***

Q.
Entry from Alexandria: a relaxed TaRuSeBr2 crystal (PBE-GGA).

As for the crystal system: tetragonal.

The structure belongs to space group P4/mmm (No. 123); the cell edges are 5.129, 5.129 and 5.036 Å and the angles 90.00°, 90.00° and 90.00°. The inequivalent atoms are Ta at (0.000, 0.000, 0.000), Ru at (0.500, 0.500, 0.500), Se at (0.000, 0.000, 0.500) and Br at (0.000, 0.500, 0.000).

***

Of them, the most stable is Q and the least stable is P.

***

P.
Entry from Alexandria: a relaxed TiRuSeBr2 crystal (PBE-GGA).

As for the crystal system: tetragonal.

The structure belongs to space group P4/mmm (No. 123); the cell edges are 5.041, 5.041 and 4.808 Å and the angles 90.00°, 90.00° and 90.00°. The inequivalent atoms are Ti at (0.000, 0.000, 0.000), Ru at (0.500, 0.500, 0.500), Se at (0.500, 0.500, 0.000) and Br at (0.000, 0.500, 0.500).

***

Q.
Entry from Alexandria: a relaxed TiRuSeBr2 crystal (PBE-GGA).

As for the crystal system: tetragonal.

The structure belongs to space group P4/mmm (No. 123); the cell edges are 5.107, 5.107 and 4.992 Å and the angles 90.00°, 90.00° and 90.00°. The inequivalent atoms are Ti at (0.000, 0.000, 0.000), Ru at (0.500, 0.500, 0.500), Se at (0.000, 0.000, 0.500) and Br at (0.000, 0.500, 0.000).

***

Of them, the most stable is Q and the least stable is P.

***

P.
Entry from Alexandria: a relaxed VRuSeBr2 crystal (PBE-GGA).

As for the crystal system: tetragonal.

The structure belongs to space group P4/mmm (No. 123); the cell edges are 5.074, 5.074 and 4.790 Å and the angles 90.00°, 90.00° and 90.00°. The inequivalent atoms are V at (0.000, 0.000, 0.000), Ru at (0.500, 0.500, 0.500), Se at (0.000, 0.000, 0.500) and Br at (0.000, 0.500, 0.000).

***

Q.
Entry from Alexandria: a relaxed VRuSeBr2 crystal (PBE-GGA).

As for the crystal system: tetragonal.

The structure belongs to space group P4/mmm (No. 123); the cell edges are 4.825, 4.825 and 4.966 Å and the angles 90.00°, 90.00° and 90.00°. The inequivalent atoms are V at (0.000, 0.000, 0.000), Ru at (0.000, 0.000, 0.500), Se at (0.500, 0.500, 0.500) and Br at (0.000, 0.500, 0.000).

***

R.
Entry from Alexandria: a relaxed VRuSeBr2 crystal (PBE-GGA).

As for the crystal system: tetragonal.

The structure belongs to space group P4/mmm (No. 123); the cell edges are 5.182, 5.182 and 4.683 Å and the angles 90.00°, 90.00° and 90.00°. The inequivalent atoms are V at (0.000, 0.000, 0.000), Ru at (0.500, 0.500, 0.500), Se at (0.500, 0.500, 0.000) and Br at (0.000, 0.500, 0.500).

***

Of them, the most stable is R and the least stable is Q.

***

P.
Entry from Alexandria: a relaxed YRuSeBr2 crystal (PBE-GGA).

As for the crystal system: tetragonal.

The structure belongs to space group P4/mmm (No. 123); the cell edges are 5.486, 5.486 and 5.562 Å and the angles 90.00°, 90.00° and 90.00°. The inequivalent atoms are Y at (0.000, 0.000, 0.000), Ru at (0.500, 0.500, 0.500), Se at (0.000, 0.000, 0.500) and Br at (0.000, 0.500, 0.000).

***

Q.
Entry from Alexandria: a relaxed YRuSeBr2 crystal (PBE-GGA).

As for the crystal system: tetragonal.

The structure belongs to space group P4/mmm (No. 123); the cell edges are 4.924, 4.924 and 5.031 Å and the angles 90.00°, 90.00° and 90.00°. The inequivalent atoms are Y at (0.000, 0.000, 0.000), Ru at (0.500, 0.500, 0.500), Se at (0.500, 0.500, 0.000) and Br at (0.000, 0.500, 0.500).

***

Of them, the most stable is Q and the least stable is P.

***

P.
Entry from Alexandria: a relaxed ZnRuSeBr2 crystal (PBE-GGA).

As for the crystal system: tetragonal.

The structure belongs to space group P4/mmm (No. 123); the cell edges are 5.241, 5.241 and 4.669 Å and the angles 90.00°, 90.00° and 90.00°. The inequivalent atoms are Zn at (0.000, 0.000, 0.000), Ru at (0.500, 0.500, 0.500), Se at (0.500, 0.500, 0.000) and Br at (0.000, 0.500, 0.500).

***

Q.
Entry from Alexandria: a relaxed ZnRuSeBr2 crystal (PBE-GGA).

As for the crystal system: tetragonal.

The structure belongs to space group P4/mmm (No. 123); the cell edges are 5.060, 5.060 and 5.065 Å and the angles 90.00°, 90.00° and 90.00°. The inequivalent atoms are Zn at (0.000, 0.000, 0.000), Ru at (0.500, 0.500, 0.500), Se at (0.000, 0.000, 0.500) and Br at (0.000, 0.500, 0.000).

***

Of them, the most stable is P and the least stable is Q.

***

P.
Entry from Alexandria: a relaxed SiRuBr3 crystal (PBE-GGA).

As for the crystal system: cubic.

The structure belongs to space group Pm-3m (No. 221); the cell edges are 5.208, 5.208 and 5.208 Å and the angles 90.00°, 90.00° and 90.00°. The inequivalent atoms are Si at (0.000, 0.000, 0.000), Ru at (0.500, 0.500, 0.500) and Br at (0.000, 0.000, 0.500).

***

Q.
Entry from Alexandria: a relaxed SiRuBr3 crystal (PBE-GGA).

As for the crystal system: cubic.

The structure belongs to space group Pm-3m (No. 221); the cell edges are 5.031, 5.031 and 5.031 Å and the angles 90.00°, 90.00° and 90.00°. The inequivalent atoms are Si at (0.000, 0.000, 0.000), Ru at (0.500, 0.500, 0.500) and Br at (0.000, 0.500, 0.500).

***

Of them, the most stable is Q and the least stable is P.

***

P.
Entry from Alexandria: a relaxed SrRu2Br crystal (PBE-GGA).

As for the crystal system: cubic.

The structure belongs to space group Fm-3m (No. 225); the cell edges are 6.722, 6.722 and 6.722 Å and the angles 90.00°, 90.00° and 90.00°. The inequivalent atoms are Sr at (0.000, 0.000, 0.000), Ru at (0.250, 0.250, 0.250) and Br at (0.000, 0.000, 0.500).

***

Q.
Entry from Alexandria: a relaxed SrRu2Br crystal (PBE-GGA).

As for the crystal system: monoclinic.

The structure belongs to space group C2/m (No. 12); the cell edges are 11.705, 3.784 and 4.808 Å and the angles 90.00°, 103.75° and 90.00°. The inequivalent atoms are Sr at (0.000, 0.000, 0.000), Ru at (0.223, 0.500, 0.858) and Br at (0.000, 0.500, 0.500).

***

R.
Entry from Alexandria: a relaxed SrRu2Br crystal (PBE-GGA).

As for the crystal system: tetragonal.

The structure belongs to space group P4/mmm (No. 123); the cell edges are 3.850, 3.850 and 6.067 Å and the angles 90.00°, 90.00° and 90.00°. The inequivalent atoms are Sr at (0.000, 0.000, 0.000), Ru at (0.000, 0.500, 0.500) and Br at (0.500, 0.500, 0.000).

***

S.
Entry from Alexandria: a relaxed SrRu2Br crystal (PBE-GGA).

As for the crystal system: orthorhombic.

The structure belongs to space group Immm (No. 71); the cell edges are 3.251, 4.657 and 11.036 Å and the angles 90.00°, 90.00° and 90.00°. The inequivalent atoms are Sr at (0.000, 0.000, 0.000), Ru at (0.000, 0.500, 0.238) and Br at (0.000, 0.000, 0.500).

***

Of them, the most stable is Q and the least stable is P.

***

P.
Entry from Alexandria: a relaxed SrRuBr2 crystal (PBE-GGA).

As for the crystal system: cubic.

The structure belongs to space group Fm-3m (No. 225); the cell edges are 7.275, 7.275 and 7.275 Å and the angles 90.00°, 90.00° and 90.00°. The inequivalent atoms are Sr at (0.000, 0.000, 0.000), Ru at (0.000, 0.000, 0.500) and Br at (0.250, 0.250, 0.250).

***

Q.
Entry from Alexandria: a relaxed SrRuBr2 crystal (PBE-GGA).

As for the crystal system: tetragonal.

The structure belongs to space group P4mm (No. 99); the cell edges are 3.581, 3.581 and 8.638 Å and the angles 90.00°, 90.00° and 90.00°. The inequivalent atoms are Sr at (0.000, 0.000, 0.000), Ru at (0.500, 0.500, 0.721), Br at (0.000, 0.000, 0.638) and Br at (0.500, 0.500, 0.206).

***

Of them, the most stable is Q and the least stable is P.

***

P.
Entry from Alexandria: a relaxed SrRuBr2 crystal (PBE-GGA).

As for the crystal system: tetragonal.

The structure belongs to space group P4mm (No. 99); the cell edges are 4.106, 4.106 and 6.285 Å and the angles 90.00°, 90.00° and 90.00°. The inequivalent atoms are Sr at (0.000, 0.000, 0.000), Ru at (0.500, 0.500, 0.703), Br at (0.000, 0.000, 0.537) and Br at (0.500, 0.500, 0.128).

***

Q.
Entry from Alexandria: a relaxed SrRuBr2 crystal (PBE-GGA).

As for the crystal system: tetragonal.

The structure belongs to space group I-42d (No. 122); the cell edges are 5.322, 5.322 and 16.220 Å and the angles 90.00°, 90.00° and 90.00°. The inequivalent atoms are Sr at (0.000, 0.000, 0.000), Ru at (0.000, 0.000, 0.500) and Br at (0.178, 0.250, 0.625).

***

Of them, the most stable is P and the least stable is Q.

***

P.
Entry from Alexandria: a relaxed SrRuBr2 crystal (PBE-GGA).

As for the crystal system: monoclinic.

The structure belongs to space group Pm (No. 6); the cell edges are 3.956, 4.623 and 6.332 Å and the angles 90.00°, 108.12° and 90.00°. The inequivalent atoms are Sr at (0.000, 0.000, 0.000), Ru at (0.371, 0.500, 0.740), Br at (0.297, 0.000, 0.593) and Br at (0.593, 0.500, 0.186).

***

Q.
Entry from Alexandria: a relaxed SrRuBr2 crystal (PBE-GGA).

As for the crystal system: orthorhombic.

The structure belongs to space group Immm (No. 71); the cell edges are 3.824, 5.110 and 11.961 Å and the angles 90.00°, 90.00° and 90.00°. The inequivalent atoms are Sr at (0.000, 0.000, 0.000), Ru at (0.000, 0.000, 0.500) and Br at (0.000, 0.500, 0.144).

***

R.
Entry from Alexandria: a relaxed SrRuBr2 crystal (PBE-GGA).

As for the crystal system: orthorhombic.

The structure belongs to space group Cmmm (No. 65); the cell edges are 6.611, 7.728 and 4.059 Å and the angles 90.00°, 90.00° and 90.00°. The inequivalent atoms are Sr at (0.000, 0.000, 0.000), Ru at (0.000, 0.500, 0.000) and Br at (0.000, 0.300, 0.500).

***

S.
Entry from Alexandria: a relaxed SrRuBr2 crystal (PBE-GGA).

As for the crystal system: tetragonal.

The structure belongs to space group P4/mmm (No. 123); the cell edges are 4.981, 4.981 and 3.893 Å and the angles 90.00°, 90.00° and 90.00°. The inequivalent atoms are Sr at (0.000, 0.000, 0.000), Ru at (0.500, 0.500, 0.000) and Br at (0.000, 0.500, 0.500).

***

Of them, the most stable is Q and the least stable is S.

***

P.
Entry from Alexandria: a relaxed SrRuBr2 crystal (PBE-GGA).

As for the crystal system: monoclinic.

The structure belongs to space group C2/m (No. 12); the cell edges are 7.129, 8.485 and 5.256 Å and the angles 90.00°, 132.24° and 90.00°. The inequivalent atoms are Sr at (0.000, 0.000, 0.000), Ru at (0.000, 0.500, 0.000) and Br at (0.250, 0.250, 0.500).

***

Q.
Entry from Alexandria: a relaxed SrRuBr2 crystal (PBE-GGA).

As for the crystal system: orthorhombic.

The structure belongs to space group Imm2 (No. 44); the cell edges are 3.623, 4.025 and 15.503 Å and the angles 90.00°, 90.00° and 90.00°. The inequivalent atoms are Sr at (0.000, 0.000, 0.000), Ru at (0.000, 0.500, 0.336), Br at (0.000, 0.000, 0.598) and Br at (0.000, 0.500, 0.838).

***

Of them, the most stable is Q and the least stable is P.